The following is a DFT calculation (PBE-GGA) of an optimized crystal structure of Nd4Sm3Te8.

For the size of the total moment, the calculation gives 0.0 Bohr magnetons per cell. The calculation puts the total energy at -5.339 eV per atom. For the theoretical density, the calculation gives 6.8 g/cm3. Its crystal system is monoclinic.

It has space group C2/m (No. 12), with a = 12.600 Å, b = 12.603 Å, c = 8.909 Å, α = 90.00°, β = 134.97° and γ = 90.00°. Symmetry generates all atoms from Nd at (0.000, 0.000, 0.000), Nd at (0.000, 0.500, 0.500), Nd at (0.250, 0.250, 0.000), Sm at (0.000, 0.500, 0.000), Sm at (0.250, 0.250, 0.500), Te at (0.000, 0.243, 0.500), Te at (0.000, 0.251, 0.000), Te at (0.244, 0.000, 0.503) and Te at (0.245, 0.000, 0.986).

=====

The following is a DFT calculation (PBE-GGA) of an optimized crystal structure of NdSm2Te.

Its energy above the most stable polymorph in this dataset is 125 meV per atom. For the size of the total moment, the calculation gives 0.7 Bohr magnetons per cell. For the theoretical density, the calculation gives 6.9 g/cm3. Its crystal system is trigonal.

It has space group R3m (No. 160, hexagonal axes), with a = 3.9903 Å, b = 3.9903 Å, c = 29.8398 Å, α = 90.00°, β = 90.00° and γ = 120.00°. Symmetry generates all atoms from Nd at (0.0000, 0.0000, 0.0000), Sm at (0.0000, 0.0000, 0.2369), Sm at (0.0000, 0.0000, 0.4289) and Te at (0.0000, 0.0000, 0.8329).